# Ac4Ga2Pd

A relaxed Ac4Ga2Pd crystal (PBE, Alexandria via LeMat-Bulk).

```
Ac4Ga2Pd
1.0
5.742 0.000 0.000
0.000 5.742 0.000
-2.871 -2.871 7.969
Ac Pd Ga
4 1 2
Direct
0.195 0.195 0.390
0.805 0.805 0.610
0.000 0.500 0.000
0.500 0.000 0.000
0.000 0.000 0.000
0.612 0.612 0.223
0.388 0.388 0.777
```

## Properties
DOS(E_F) in states/eV/atom: 0.9620
Excess energy over the best structure of this formula in the dataset in meV per atom: 130.1
Symmetry: I4/mmm
Formation energy from the elements in eV per formula unit: -1.9

***

# Ta2CrIn2Se6

A relaxed Ta2CrIn2Se6 crystal (PBE, Alexandria via LeMat-Bulk).

```
Ta2CrIn2Se6
1.0
6.228 -0.093 -0.321
-3.159 5.368 -0.321
-1.640 -2.819 8.844
Se In Cr Ta
6 2 1 2
Direct
0.833 0.833 0.709
0.895 0.557 0.329
0.167 0.167 0.291
0.105 0.443 0.671
0.557 0.895 0.329
0.443 0.105 0.671
0.772 0.228 0.000
0.228 0.772 0.000
0.000 0.000 0.500
0.365 0.635 0.500
0.635 0.365 0.500
```

## Properties
DOS(E_F) in states/eV/atom: 0.2435
Symmetry: C2/m
E_form (uncorrected) in eV per atom: -0.56

***

# LiTePI2

A relaxed LiTePI2 crystal (PBE, Alexandria via LeMat-Bulk).

```
LiTePI2
1.0
-4.602 -1.427 2.114
-2.097 -0.366 -4.811
1.481 -5.151 -0.253
I P Te Li
2 1 1 1
Direct
0.000 0.500 0.000
0.500 0.000 0.000
0.500 0.500 0.500
0.000 0.000 0.500
0.000 0.000 0.000
```

## Properties
DOS(E_F) in states/eV/atom: 1.0226
Excess energy over the best structure of this formula in the dataset in meV per atom: 515.4
Symmetry: P4/mmm
E_form (uncorrected) in eV per atom: 0.53

***

# BaHgS

A relaxed BaHgS crystal (PBE, Alexandria via LeMat-Bulk).

```
BaHgS
1.0
-1.583 0.133 -5.016
2.729 -2.574 -3.689
-4.697 -8.217 -1.494
S Hg Ba
2 2 2
Direct
0.718 0.718 0.845
0.282 0.282 0.155
0.826 0.826 0.523
0.174 0.174 0.477
0.395 0.395 0.814
0.605 0.605 0.186
```

## Properties
DOS(E_F) in states/eV/atom: 0.1933
Excess energy over the best structure of this formula in the dataset in meV per atom: 0.0
Symmetry: R-3m
E_form (uncorrected) in eV per atom: -1.21

***

# AlCrTe2

A relaxed AlCrTe2 crystal (PBE, Alexandria via LeMat-Bulk).

```
AlCrTe2
1.0
5.126 0.000 0.000
2.563 4.439 0.000
2.563 1.480 4.186
Al Cr Te
1 1 2
Direct
0.500 0.500 0.500
0.750 0.750 0.750
0.000 0.000 0.000
0.250 0.250 0.250
```

## Properties
DOS(E_F) in states/eV/atom: 0.6271
Symmetry: F-43m
E_form (uncorrected) in eV per atom: 0.54

***

# ZrAs2Ir

A relaxed ZrAs2Ir crystal (PBE, Alexandria via LeMat-Bulk).

```
ZrAs2Ir
1.0
-0.435 -3.184 -2.814
3.643 1.177 -1.894
5.968 -6.178 2.825
As Ir Zr
4 2 2
Direct
0.875 0.915 0.750
0.665 0.125 0.250
0.375 0.335 0.750
0.085 0.625 0.250
0.000 0.000 0.000
0.750 0.250 0.500
0.250 0.750 0.500
0.500 0.500 0.000
```

## Properties
DOS(E_F) in states/eV/atom: 0.5553
Excess energy over the best structure of this formula in the dataset in meV per atom: 268.4
Symmetry: I-42d
Formation energy from the elements in eV per formula unit: -1.2

***

# Rb7NaAu3

A relaxed Rb7NaAu3 crystal (PBE, Alexandria via LeMat-Bulk).

```
Rb7NaAu3
1.0
8.254 0.003 -1.716
-1.779 8.617 -1.437
0.056 0.003 8.430
Rb Au Na
7 3 1
Direct
0.858 0.796 0.858
0.500 0.000 0.500
0.617 0.274 0.013
0.987 0.726 0.383
0.013 0.274 0.617
0.142 0.204 0.142
0.383 0.726 0.987
0.778 0.000 0.222
0.222 0.000 0.778
0.000 0.500 0.000
0.500 0.500 0.500
```

## Properties
DOS(E_F) in states/eV/atom: 0.8180
Symmetry: C2/m
Formation energy from the elements in eV per formula unit: -1.4

***

# BCSe

A relaxed BCSe crystal (PBE, Alexandria via LeMat-Bulk).

```
BCSe
1.0
4.877 0.000 0.000
0.000 5.434 0.000
0.000 0.000 7.185
Se C B
4 4 4
Direct
0.032 0.170 0.302
0.032 0.670 0.698
0.532 0.330 0.302
0.532 0.830 0.698
0.016 0.625 0.977
0.016 0.125 0.023
0.516 0.375 0.023
0.516 0.875 0.977
0.181 0.376 0.004
0.181 0.876 0.996
0.681 0.624 0.996
0.681 0.124 0.004
```

## Properties
Symmetry: Pca2_1
E_form (uncorrected) in eV per atom: 0.21

***

# CsBPb

A relaxed CsBPb crystal (PBE, Alexandria via LeMat-Bulk).

```
CsBPb
1.0
16.140 0.000 0.000
0.000 3.330 0.000
0.000 0.000 7.696
Cs B Pb
4 4 4
Direct
0.368 0.750 0.822
0.868 0.750 0.678
0.132 0.250 0.322
0.632 0.250 0.178
0.500 0.500 0.500
0.000 0.000 0.000
0.000 0.500 0.000
0.500 0.000 0.500
0.876 0.250 0.181
0.376 0.250 0.319
0.624 0.750 0.681
0.124 0.750 0.819
```

## Properties
DOS(E_F) in states/eV/atom: 0.3624
Symmetry: Pnma
Formation energy from the elements in eV per formula unit: 0.9

***

# NbGa2Au

A relaxed NbGa2Au crystal (PBE, Alexandria via LeMat-Bulk).

```
NbGa2Au
1.0
3.785 0.000 0.000
0.000 4.201 0.000
0.000 0.000 4.201
Ga Nb Au
2 1 1
Direct
0.000 0.500 0.000
0.000 0.000 0.500
0.500 0.500 0.500
0.500 0.000 0.000
```

## Properties
DOS(E_F) in states/eV/atom: 0.2964
Excess energy over the best structure of this formula in the dataset in meV per atom: 0.0
Symmetry: P4/mmm
Formation energy from the elements in eV per formula unit: -1.1

***

# RbLi2Tl2

A relaxed RbLi2Tl2 crystal (PBE, Alexandria via LeMat-Bulk).

```
RbLi2Tl2
1.0
5.355 0.000 0.000
0.000 5.355 0.000
2.678 2.678 5.364
Li Tl Rb
2 2 1
Direct
0.250 0.750 0.500
0.750 0.250 0.500
0.354 0.354 0.293
0.646 0.646 0.707
0.000 0.000 0.000
```

## Properties
DOS(E_F) in states/eV/atom: 0.5809
Excess energy over the best structure of this formula in the dataset in meV per atom: 16.9
Symmetry: I4/mmm
Formation energy from the elements in eV per formula unit: -0.3

***

# HoFe4Rh

A relaxed HoFe4Rh crystal (PBE, Alexandria via LeMat-Bulk).

```
HoFe4Rh
1.0
-3.035 -0.062 -3.935
1.622 -1.743 -4.362
-1.721 -4.325 -1.743
Fe Rh Ho
4 1 1
Direct
0.126 0.625 0.625
0.625 0.625 0.126
0.625 0.126 0.625
0.625 0.625 0.625
0.250 0.250 0.250
0.000 0.000 0.000
```

## Properties
DOS(E_F) in states/eV/atom: 0.8083
Symmetry: F-43m
Formation energy from the elements in eV per formula unit: -0.6

***

Number 1: size of the total moment 0.000 μB per atom, VASP energy -4.222 eV per atom. Number 2: size of the total moment 0.217 μB per atom, VASP energy -5.984 eV per atom. Number 3: size of the total moment 0.240 μB per atom, VASP energy -2.187 eV per atom. Number 4: size of the total moment 0.000 μB per atom, VASP energy -3.331 eV per atom. Number 5: size of the total moment 1.080 μB per atom, VASP energy -4.376 eV per atom. Number 6: size of the total moment 0.000 μB per atom, VASP energy -6.972 eV per atom. Number 7: size of the total moment 0.000 μB per atom, VASP energy -1.758 eV per atom. Number 8: size of the total moment 0.000 μB per atom, VASP energy -6.248 eV per atom. Number 9: size of the total moment 0.000 μB per atom, VASP energy -3.436 eV per atom. Number 10: size of the total moment 0.000 μB per atom, VASP energy -5.135 eV per atom. Number 11: size of the total moment 0.000 μB per atom, VASP energy -1.972 eV per atom. Number 12: size of the total moment 1.761 μB per atom, VASP energy -7.727 eV per atom.